[1]
Density functional theory data (PBE) for an optimized crystal structure of Cs2ThBr4F2.

Results
As for the space group: C2/m (12). As for the total energy: -4.610 eV/atom.

a = 7.6593 Å, b = 7.6593 Å, c = 6.2560 Å
α = 100.32°, β = 100.32°, γ = 66.93°
Fractional positions:
Cs: 0.1701 0.1701 0.3289
Cs: 0.8299 0.8299 0.6711
Th: 0.5000 0.5000 0.0000
Br: 0.1478 0.6492 0.2020
Br: 0.3508 0.8522 0.7980
Br: 0.6492 0.1478 0.2020
Br: 0.8522 0.3508 0.7980
F: 0.3639 0.3639 0.7286
F: 0.6361 0.6361 0.2714

[2]
Density functional theory data (PBE) for an optimized crystal structure of Cs3Tl2Br3F2.

Results
As for the space group: I4/mmm (139). As for the total energy: -3.338 eV/atom.

a = 16.7596 Å, b = 16.7596 Å, c = 16.7596 Å
α = 162.48°, β = 162.48°, γ = 24.88°
Fractional positions:
Cs: 0.0000 0.0000 0.0000
Cs: 0.3857 0.3857 0.0000
Cs: 0.6143 0.6143 0.0000
Tl: 0.2225 0.2225 0.0000
Tl: 0.7775 0.7775 0.0000
Br: 0.1115 0.1115 0.0000
Br: 0.5000 0.5000 0.0000
Br: 0.8885 0.8885 0.0000
F: 0.2500 0.7500 0.5000
F: 0.7500 0.2500 0.5000

[3]
Density functional theory data (PBE) for an optimized crystal structure of CsTl2BrF2.

Results
As for the space group: P2_1/m (11). As for the total energy: -3.601 eV/atom.

a = 7.8032 Å, b = 6.5914 Å, c = 8.2290 Å
α = 90.00°, β = 108.33°, γ = 90.00°
Fractional positions:
Cs: 0.1906 0.2500 0.4555
Cs: 0.8094 0.7500 0.5445
Tl: 0.0929 0.2500 0.9358
Tl: 0.3793 0.7500 0.8534
Tl: 0.6207 0.2500 0.1466
Tl: 0.9071 0.7500 0.0642
Br: 0.3306 0.7500 0.2294
Br: 0.6694 0.2500 0.7706
F: 0.1370 0.5047 0.7360
F: 0.1370 0.9953 0.7360
F: 0.8630 0.0047 0.2640
F: 0.8630 0.4953 0.2640